{
  "formula": "LiMo2I",
  "functional": "PBE-GGA",
  "state": "optimized geometry",
  "cell": [[0.000, 3.187, 3.187], [3.187, 0.000, 3.187], [3.187, 3.187, 0.000]],
  "species": ["I", "Mo", "Mo", "Li"],
  "fractional_positions": [[0.500, 0.500, 0.500], [0.250, 0.250, 0.250], [0.750, 0.750, 0.750], [0.000, 0.000, 0.000]],
  "crystal_system": "cubic",
  "energy_ev_per_atom": -5.31,
  "e_form_raw_mev_per_atom": 967,
  "volume_a3_per_cell": 64.7
}

***

{
  "formula": "LiMoI2",
  "functional": "PBE-GGA",
  "state": "optimized geometry",
  "cell": [[0.000, 3.504, 3.504], [3.504, 0.000, 3.504], [3.504, 3.504, 0.000]],
  "species": ["I", "I", "Mo", "Li"],
  "fractional_positions": [[0.250, 0.250, 0.250], [0.750, 0.750, 0.750], [0.500, 0.500, 0.500], [0.000, 0.000, 0.000]],
  "crystal_system": "cubic",
  "energy_ev_per_atom": -3.58,
  "e_form_raw_mev_per_atom": 379,
  "volume_a3_per_cell": 86.1
}

***

{
  "formula": "LiMo2I",
  "functional": "PBE-GGA",
  "state": "optimized geometry",
  "cell": [[-0.588, -3.415, -1.441], [3.587, -0.156, -1.094], [4.099, -6.091, 7.873]],
  "species": ["I", "I", "Mo", "Mo", "Mo", "Mo", "Li", "Li"],
  "fractional_positions": [[0.000, 0.000, 0.000], [0.750, 0.250, 0.500], [0.628, 0.125, 0.250], [0.122, 0.625, 0.250], [0.375, 0.372, 0.750], [0.875, 0.878, 0.750], [0.500, 0.500, 0.000], [0.250, 0.750, 0.500]],
  "crystal_system": "tetragonal",
  "energy_ev_per_atom": -5.61,
  "e_form_raw_mev_per_atom": 672,
  "volume_a3_per_cell": 147.0
}

***

{
  "formula": "LiMoI3",
  "functional": "PBE-GGA",
  "state": "optimized geometry",
  "cell": [[5.445, 0.000, 0.000], [0.000, 5.445, 0.000], [0.000, 0.000, 5.445]],
  "species": ["I", "I", "I", "Mo", "Li"],
  "fractional_positions": [[0.000, 0.500, 0.000], [0.000, 0.000, 0.500], [0.500, 0.000, 0.000], [0.500, 0.500, 0.500], [0.000, 0.000, 0.000]],
  "crystal_system": "cubic",
  "energy_ev_per_atom": -3.01,
  "e_form_raw_mev_per_atom": 473,
  "volume_a3_per_cell": 161.5
}

***

{
  "formula": "LiMoI2",
  "functional": "PBE-GGA",
  "state": "optimized geometry",
  "cell": [[-6.320, 1.806, -0.430], [-1.617, -4.603, 4.426], [-3.038, 3.035, 6.948]],
  "species": ["I", "I", "I", "I", "Mo", "Mo", "Li", "Li"],
  "fractional_positions": [[0.605, 0.125, 0.250], [0.145, 0.625, 0.250], [0.375, 0.395, 0.750], [0.875, 0.855, 0.750], [0.000, 0.000, 0.000], [0.750, 0.250, 0.500], [0.500, 0.500, 0.000], [0.250, 0.750, 0.500]],
  "crystal_system": "tetragonal",
  "energy_ev_per_atom": -3.79,
  "e_form_raw_mev_per_atom": 172,
  "volume_a3_per_cell": 291.1
}

***

{
  "formula": "LiMoI3",
  "functional": "PBE-GGA",
  "state": "optimized geometry",
  "cell": [[5.789, 0.000, 0.000], [0.000, 5.789, 0.000], [0.000, 0.000, 5.789]],
  "species": ["I", "I", "I", "Mo", "Li"],
  "fractional_positions": [[0.000, 0.500, 0.000], [0.000, 0.000, 0.500], [0.500, 0.000, 0.000], [0.000, 0.000, 0.000], [0.500, 0.500, 0.500]],
  "crystal_system": "cubic",
  "energy_ev_per_atom": -3.50,
  "e_form_raw_mev_per_atom": -23,
  "volume_a3_per_cell": 194.0
}

***

{
  "formula": "LiMoIN2",
  "functional": "PBE-GGA",
  "state": "optimized geometry",
  "cell": [[3.879, 0.000, 0.000], [0.000, 3.879, 0.000], [0.000, 0.000, 4.678]],
  "species": ["I", "Mo", "Li", "N", "N"],
  "fractional_positions": [[0.000, 0.000, 0.500], [0.500, 0.500, 0.500], [0.000, 0.000, 0.000], [0.000, 0.500, 0.000], [0.500, 0.000, 0.000]],
  "crystal_system": "tetragonal",
  "energy_ev_per_atom": -4.16,
  "e_form_raw_mev_per_atom": 2029,
  "volume_a3_per_cell": 70.4
}

***

{
  "formula": "LiMoIN2",
  "functional": "PBE-GGA",
  "state": "optimized geometry",
  "cell": [[3.934, 0.000, 0.000], [0.000, 3.934, 0.000], [0.000, 0.000, 5.894]],
  "species": ["I", "Mo", "Li", "N", "N"],
  "fractional_positions": [[0.000, 0.000, 0.500], [0.000, 0.000, 0.000], [0.500, 0.500, 0.500], [0.000, 0.500, 0.000], [0.500, 0.000, 0.000]],
  "crystal_system": "tetragonal",
  "energy_ev_per_atom": -6.07,
  "e_form_raw_mev_per_atom": 116,
  "volume_a3_per_cell": 91.2
}

***

What are the polymorph energy (0 for the lowest one) values for these records? In order: 295, 206, 0, 497, 0, 0, 1913, 0 meV per atom.